Entry 1:
# Y8CrFe4

A geometry-optimized Y8CrFe4 structure (GGA-PBE, Alexandria via LeMat-Bulk).

```
Y8CrFe4
1.0
-5.331 5.331 3.010
5.331 -5.331 3.010
5.331 5.331 -3.010
Y Cr Fe
8 1 4
Direct
0.000 0.000 0.500 Y
0.000 0.241 0.241 Y
0.000 0.500 0.000 Y
0.000 0.759 0.759 Y
0.241 0.000 0.241 Y
0.500 0.000 0.000 Y
0.500 0.500 0.500 Y
0.759 0.000 0.759 Y
0.500 0.500 0.000 Cr
0.106 0.500 0.606 Fe
0.500 0.106 0.606 Fe
0.500 0.894 0.394 Fe
0.894 0.500 0.394 Fe
```

Calculated values
Symmetry = I4/mmm (139)
Energy relative to the elements = 863.4 meV/atom



Entry 2:
# Y2CrFe2

A geometry-optimized Y2CrFe2 structure (GGA-PBE, Alexandria via LeMat-Bulk).

```
Y2CrFe2
1.0
6.202 0.000 0.000
0.000 6.202 0.000
0.000 0.000 4.592
Y Cr Fe
4 2 4
Direct
0.183 0.317 0.000 Y
0.317 0.817 0.000 Y
0.683 0.183 0.000 Y
0.817 0.683 0.000 Y
0.000 0.000 0.500 Cr
0.500 0.500 0.500 Cr
0.126 0.626 0.500 Fe
0.374 0.126 0.500 Fe
0.626 0.874 0.500 Fe
0.874 0.374 0.500 Fe
```

Calculated values
Symmetry = P4/mbm (127)
Energy relative to the elements = 244.3 meV/atom



Entry 3:
# YCrFe2

A geometry-optimized YCrFe2 structure (GGA-PBE, Alexandria via LeMat-Bulk).

```
YCrFe2
1.0
0.000 3.065 3.065
3.065 0.000 3.065
3.065 3.065 0.000
Y Cr Fe
1 1 2
Direct
0.000 0.000 0.000 Y
0.500 0.500 0.500 Cr
0.250 0.250 0.250 Fe
0.750 0.750 0.750 Fe
```

Calculated values
Symmetry = Fm-3m (225)
ΔE to the lowest computed polymorph = 355 meV per atom
Energy relative to the elements = 498.3 meV/atom



Entry 4:
# ZnCrFe2

A geometry-optimized ZnCrFe2 structure (GGA-PBE, Alexandria via LeMat-Bulk).

```
ZnCrFe2
1.0
3.643 0.000 0.000
0.000 3.681 0.000
0.000 0.000 3.689
Zn Cr Fe
1 1 2
Direct
0.000 0.000 0.000 Zn
0.500 0.000 0.500 Cr
0.000 0.500 0.500 Fe
0.500 0.500 0.000 Fe
```

Calculated values
Symmetry = Pmmm (47)
Energy relative to the elements = 186.8 meV/atom



Entry 5:
# ZnCrFe2

A geometry-optimized ZnCrFe2 structure (GGA-PBE, Alexandria via LeMat-Bulk).

```
ZnCrFe2
1.0
2.593 0.000 0.000
0.000 2.593 0.000
0.000 0.000 7.075
Zn Cr Fe
1 1 2
Direct
0.000 0.000 0.000 Zn
0.000 0.000 0.500 Cr
0.500 0.500 0.263 Fe
0.500 0.500 0.737 Fe
```

Calculated values
Symmetry = P4/mmm (123)
Energy relative to the elements = 96.2 meV/atom



Entry 6:
# Zn2CrFe

A geometry-optimized Zn2CrFe structure (GGA-PBE, Alexandria via LeMat-Bulk).

```
Zn2CrFe
1.0
2.515 0.000 0.000
0.000 3.923 0.000
-0.013 0.000 5.172
Zn Cr Fe
2 1 1
Direct
0.000 0.000 0.248 Zn
0.000 0.000 0.752 Zn
0.500 0.500 0.500 Cr
0.500 0.500 0.000 Fe
```

Calculated values
Symmetry = P2/m (10)
ΔE to the lowest computed polymorph = 110 meV per atom
Energy relative to the elements = 174.6 meV/atom



Entry 7:
# ZnCrFe2

A geometry-optimized ZnCrFe2 structure (GGA-PBE, Alexandria via LeMat-Bulk).

```
ZnCrFe2
1.0
4.608 0.000 0.000
0.000 2.443 0.000
-1.838 0.000 4.273
Zn Cr Fe
1 1 2
Direct
0.000 0.000 0.000 Zn
0.000 0.500 0.500 Cr
0.500 0.000 0.500 Fe
0.500 0.500 0.000 Fe
```

Calculated values
Symmetry = P2/m (10)
Energy relative to the elements = 208.7 meV/atom



Entry 8:
# ZnCrFe2

A geometry-optimized ZnCrFe2 structure (GGA-PBE, Alexandria via LeMat-Bulk).

```
ZnCrFe2
1.0
4.218 -1.225 0.000
4.218 1.225 0.000
-0.423 0.000 4.650
Zn Cr Fe
1 1 2
Direct
0.000 0.000 0.000 Zn
0.500 0.500 0.500 Cr
0.253 0.253 0.744 Fe
0.747 0.747 0.256 Fe
```

Calculated values
Symmetry = C2/m (12)
Energy relative to the elements = 175.9 meV/atom



Which of these has the highest energy relative to the elements? Y8CrFe4



Which formula does entry 8 have? ZnCrFe2



What is the energy relative to the elements in the second record? 244.3 meV/atom